Entry from Alexandria via LeMat-Bulk: crystalline UTl2AsS5 at its relaxed geometry (PBE).

abc: 4.1654 17.9152 14.0433
angles: 90.00 90.00 90.00
Space group Cmc2_1 (No. 36)
One atom of each set of equivalent atoms:
U  0.0000  0.2082  0.0000 (multiplicity 4)
Tl  0.0000  0.1028  0.6133 (multiplicity 4)
Tl  0.0000  0.1324  0.2812 (multiplicity 4)
As  0.0000  0.4517  0.3971 (multiplicity 4)
S  0.0000  0.0661  0.0168 (multiplicity 4)
S  0.0000  0.2770  0.6165 (multiplicity 4)
S  0.0000  0.3209  0.3754 (multiplicity 4)
S  0.0000  0.3437  0.9573 (multiplicity 4)
S  0.0000  0.4952  0.2519 (multiplicity 4)

Output
calculated total energy = -5.211 eV/atom
formation energy from raw total energies = -14.32 kcal/mol of atoms